A plane-wave DFT calculation with PBE-GGA was carried out for a relaxed structure of Cd2ICl2.

Values from the calculation:
energy relative to the elements, uncorrected	-637	meV per atom

abc: 7.8018 7.8018 9.5448
angles: 114.12 114.12 90.00
Closest atoms and distances in Å follow each position.
Sites, in units of the cell vectors:
Cd (0.4402, 0.6290, 0.8804)  3 Cl 2.58-2.78, 1 I 2.85
Cd (0.5013, 0.1902, 0.3804)  3 Cl 2.58-2.78, 1 I 2.85
Cd (0.8790, 0.1902, 0.3804)  3 Cl 2.58-2.78, 1 I 2.85
Cd (0.4402, 0.2513, 0.8804)  3 Cl 2.58-2.78, 1 I 2.85
I (0.0949, 0.0949, 0.1897)  2 Cd 2.85
I (0.3449, 0.8449, 0.6897)  2 Cd 2.85
Cl (0.6027, 0.8560, 0.2054)  3 Cd 2.58-2.78
Cl (0.5995, 0.3527, 0.7054)  3 Cd 2.58-2.78
Cl (0.1060, 0.3527, 0.7054)  3 Cd 2.58-2.78
Cl (0.6027, 0.3495, 0.2054)  3 Cd 2.58-2.78


A plane-wave DFT calculation with PBE-GGA was carried out for a relaxed structure of Co3ReOs.

Values from the calculation:
offset from the most stable computed form	0.0000	eV per atom
calculated formation energy	9.9	eV per formula unit

abc: 4.3438 4.3438 4.3438
angles: 90.00 90.00 90.00
Closest atoms and distances in Å follow each position.
Sites, in units of the cell vectors:
Re (0.0000, 0.0000, 0.0000)  6 Co 2.17
Os (0.5000, 0.5000, 0.5000)  12 Co 3.07
Co (0.0000, 0.5000, 0.0000)  2 Re 2.17
Co (0.0000, 0.0000, 0.5000)  2 Re 2.17
Co (0.5000, 0.0000, 0.0000)  2 Re 2.17


A plane-wave DFT calculation with PBE-GGA was carried out for a relaxed structure of Tb15Pm4Dy.

Values from the calculation:
calculated formation energy	0.3	eV per formula unit

abc: 5.0621 5.0621 25.2700
angles: 90.00 90.00 90.00
Closest atoms and distances in Å follow each position.
Sites, in units of the cell vectors:
Tb (0.5000, 0.5000, 0.0000)  8 Tb 3.56, 4 Dy 3.58
Tb (0.5000, 0.5000, 0.1991)  4 Pm 3.58, 8 Tb 3.58
Tb (0.5000, 0.5000, 0.3998)  4 Pm 3.58, 8 Tb 3.58
Tb (0.5000, 0.5000, 0.6002)  4 Pm 3.58, 8 Tb 3.58
Tb (0.5000, 0.5000, 0.8009)  4 Pm 3.58, 8 Tb 3.58
Tb (0.5000, 0.0000, 0.0989)  8 Tb 3.56-3.58, 2 Dy 3.56, 2 Pm 3.59
Tb (0.5000, 0.0000, 0.2995)  4 Pm 3.58, 8 Tb 3.58
Tb (0.5000, 0.0000, 0.5000)  8 Tb 3.58, 4 Pm 3.58
Tb (0.5000, 0.0000, 0.7005)  4 Pm 3.58, 8 Tb 3.58
Tb (0.5000, 0.0000, 0.9011)  8 Tb 3.56-3.58, 2 Dy 3.56, 2 Pm 3.59
Tb (0.0000, 0.5000, 0.0989)  8 Tb 3.56-3.58, 2 Dy 3.56, 2 Pm 3.59
Tb (0.0000, 0.5000, 0.2995)  4 Pm 3.58, 8 Tb 3.58
Tb (0.0000, 0.5000, 0.5000)  8 Tb 3.58, 4 Pm 3.58
Tb (0.0000, 0.5000, 0.7005)  4 Pm 3.58, 8 Tb 3.58
Tb (0.0000, 0.5000, 0.9011)  8 Tb 3.56-3.58, 2 Dy 3.56, 2 Pm 3.59
Pm (0.0000, 0.0000, 0.1994)  12 Tb 3.58-3.59
Pm (0.0000, 0.0000, 0.3997)  12 Tb 3.58
Pm (0.0000, 0.0000, 0.6003)  12 Tb 3.58
Pm (0.0000, 0.0000, 0.8006)  12 Tb 3.58-3.59
Dy (0.0000, 0.0000, 0.0000)  12 Tb 3.56-3.58


DFT total energy
In order: -2.05, -7.03, -4.64
Unit: eV/atom
N(E_F)
In order: 0.5, 7.8, 26.9
Unit: states/eV/f.u.